Entry 1:
VASP calculation (meta-GGA SCAN) on SrMg2Hg at its PBEsol-relaxed geometry.

Computed properties:
M_tot   0.00 Bohr magnetons per cell
DFT total energy   -25.379 eV/atom
Formation enthalpy at 0 K   -6.506 kcal/mol of atoms

a b c (Å): 5.263 5.263 5.263
angles (deg): 60.00 60.00 60.00
Fractional coordinates of all 4 atoms:
Sr: 0.000 0.000 0.000
Mg: 0.250 0.250 0.250
Mg: 0.500 0.500 0.500
Hg: 0.750 0.750 0.750


Entry 2:
VASP calculation (meta-GGA SCAN) on BaSrLi2I at its PBEsol-relaxed geometry.

Computed properties:
M_tot   0.00 Bohr magnetons per cell
E_form (uncorrected)   6.54 kJ/mol of atoms
DFT total energy   -20.602 eV/atom

a b c (Å): 6.328 6.328 6.330
angles (deg): 90.00 90.00 90.00
Fractional coordinates of all 5 atoms:
Ba: 0.000 0.000 0.000
Sr: 0.500 0.500 0.500
Li: 0.000 0.500 0.000
Li: 0.500 0.000 0.000
I: 0.000 0.000 0.500


Entry 3:
VASP calculation (meta-GGA SCAN) on Na3TmCl6 at its PBEsol-relaxed geometry.

Computed properties:
M_tot   0.00 Bohr magnetons per cell
E_form (uncorrected)   -201.82 kJ/mol of atoms
DFT total energy   -13.326 eV/atom

a b c (Å): 7.334 7.334 7.334
angles (deg): 60.00 60.00 60.00
Fractional coordinates of all 10 atoms:
Na: 0.000 0.000 0.000
Na: 0.250 0.250 0.250
Na: 0.750 0.750 0.750
Tm: 0.500 0.500 0.500
Cl: 0.254 0.254 0.746
Cl: 0.254 0.746 0.254
Cl: 0.254 0.746 0.746
Cl: 0.746 0.254 0.254
Cl: 0.746 0.254 0.746
Cl: 0.746 0.746 0.254


Entry 4:
VASP calculation (meta-GGA SCAN) on SrLaBr5 at its PBEsol-relaxed geometry.

Computed properties:
M_tot   0.00 Bohr magnetons per cell
E_form (uncorrected)   -215.38 kJ/mol of atoms
DFT total energy   -25.472 eV/atom

a b c (Å): 7.896 4.405 13.579
angles (deg): 90.00 90.37 90.00
Fractional coordinates of all 14 atoms:
Sr: 0.066 0.250 0.353
Sr: 0.934 0.750 0.647
La: 0.427 0.750 0.154
La: 0.573 0.250 0.846
Br: 0.059 0.750 0.176
Br: 0.159 0.250 0.572
Br: 0.310 0.250 0.017
Br: 0.349 0.750 0.788
Br: 0.360 0.750 0.365
Br: 0.640 0.250 0.635
Br: 0.651 0.250 0.212
Br: 0.690 0.750 0.983
Br: 0.841 0.750 0.428
Br: 0.941 0.250 0.824


Entry 5:
VASP calculation (meta-GGA SCAN) on Ta2BeFe at its PBEsol-relaxed geometry.

Computed properties:
M_tot   1.98 Bohr magnetons per cell
DFT total energy   -38.589 eV/atom
Formation enthalpy at 0 K   7.468 kcal/mol of atoms

a b c (Å): 4.273 4.273 4.273
angles (deg): 60.00 60.00 60.00
Fractional coordinates of all 4 atoms:
Ta: 0.000 0.000 0.000
Ta: 0.250 0.250 0.250
Be: 0.750 0.750 0.750
Fe: 0.500 0.500 0.500


Entry 6:
VASP calculation (meta-GGA SCAN) on Mg2FeAg at its PBEsol-relaxed geometry.

Computed properties:
M_tot   2.56 Bohr magnetons per cell
DFT total energy   -14.801 eV/atom
Formation enthalpy at 0 K   1.388 kcal/mol of atoms

a b c (Å): 4.524 4.524 3.187
angles (deg): 90.00 90.00 90.12
Fractional coordinates of all 4 atoms:
Mg: 0.000 0.500 0.000
Mg: 0.500 0.000 0.000
Fe: 0.000 0.000 0.500
Ag: 0.500 0.500 0.500